P | A relaxed CaCrRu2 crystal, computed with PBE.

Properties
- DOS at the Fermi energy: 4.805 states/eV/f.u.
- Total magnetic moment: 2.36 μB/f.u.

abc: 3.052 4.495 4.758
angles: 90.00 90.00 90.00
Space group Pmmm (No. 47)
Asymmetric unit:
Ca  0.000  0.000  0.000 (multiplicity 1)
Cr  0.500  0.000  0.500 (multiplicity 1)
Ru  0.000  0.500  0.500 (multiplicity 1)
Ru  0.500  0.500  0.000 (multiplicity 1)

Q | A relaxed CaCrRu2 crystal, computed with PBE.

Properties
- DOS at the Fermi energy: 2.095 states/eV/f.u.
- Total magnetic moment: 0.00 μB/f.u.

abc: 7.059 7.059 5.780
angles: 90.00 90.00 90.00
Space group I-42d (No. 122)
Asymmetric unit:
Ca  0.000  0.000  0.000 (multiplicity 4)
Cr  0.000  0.000  0.500 (multiplicity 4)
Ru  0.180  0.250  0.625 (multiplicity 8)

R | A relaxed CaCrRu2 crystal, computed with PBE.

Properties
- DOS at the Fermi energy: 4.046 states/eV/f.u.
- Total magnetic moment: 1.65 μB/f.u.

abc: 9.734 3.013 5.025
angles: 90.00 106.77 90.00
Space group Cm (No. 8)
Asymmetric unit:
Ca  0.000  0.000  0.000 (multiplicity 2)
Cr  0.288  0.500  0.344 (multiplicity 2)
Ru  0.224  0.000  0.667 (multiplicity 2)
Ru  0.498  0.000  0.503 (multiplicity 2)

Q: What are the energies relative to the best structure? A: P 16.8; Q 9.9; R 0.0, in kJ/mol of atoms.

P | A relaxed CaCrRu2 crystal, computed with PBE.

Properties
- DOS at the Fermi energy: 3.667 states/eV/f.u.
- Total magnetic moment: 0.48 μB/f.u.

abc: 2.901 3.891 6.162
angles: 90.00 103.30 90.00
Space group P2/m (No. 10)
Asymmetric unit:
Ca  0.000  0.000  0.000 (multiplicity 1)
Cr  0.000  0.000  0.500 (multiplicity 1)
Ru  0.378  0.500  0.690 (multiplicity 2)

Q | A relaxed CaCrRu2 crystal, computed with PBE.

Properties
- DOS at the Fermi energy: 4.213 states/eV/f.u.
- Total magnetic moment: 0.76 μB/f.u.

abc: 8.959 2.970 5.417
angles: 90.00 106.64 90.00
Space group C2/m (No. 12)
Asymmetric unit:
Ca  0.000  0.000  0.000 (multiplicity 2)
Cr  0.000  0.500  0.500 (multiplicity 2)
Ru  0.217  0.000  0.673 (multiplicity 4)

Q: What are the energies relative to the best structure? A: P 1.8; Q 0.0, in kJ/mol of atoms.

P | A relaxed CaCrRu2 crystal, computed with PBE.

Properties
- DOS at the Fermi energy: 4.385 states/eV/f.u.
- Total magnetic moment: 0.64 μB/f.u.

abc: 2.985 4.898 8.893
angles: 90.00 90.00 90.00
Space group Immm (No. 71)
Asymmetric unit:
Ca  0.000  0.000  0.000 (multiplicity 2)
Cr  0.000  0.000  0.500 (multiplicity 2)
Ru  0.000  0.500  0.214 (multiplicity 4)

Q | A relaxed CaCrRu2 crystal, computed with PBE.

Properties
- DOS at the Fermi energy: 5.262 states/eV/f.u.
- Total magnetic moment: 1.90 μB/f.u.

abc: 4.008 4.008 8.330
angles: 90.00 90.00 90.00
Space group I-4m2 (No. 119)
Asymmetric unit:
Ca  0.000  0.000  0.000 (multiplicity 2)
Cr  0.000  0.500  0.750 (multiplicity 2)
Ru  0.000  0.000  0.500 (multiplicity 2)
Ru  0.000  0.500  0.250 (multiplicity 2)

Q: What are the energies relative to the best structure? A: P 0.0; Q 18.0, in kJ/mol of atoms.